1.
# CdMoIr2

CdMoIr2 after structural relaxation (PBE, Alexandria).

Its calculated total energy is -7.07 eV per atom. The calculation puts the energy of formation from the pure elements at 0.301 eV per atom. The density comes out at 15.3 g/cm3. For the density of states at the Fermi level, the calculation gives 5.55 states/eV/f.u.

The space group is P4/mmm (No. 123) and the conventional cell measures 4.124, 4.124 and 3.785 Å, with angles of 90.00, 90.00 and 90.00 degrees. Symmetry generates all atoms from Cd at (0.000, 0.000, 0.000), Mo at (0.500, 0.500, 0.000) and Ir at (0.000, 0.500, 0.500).

2.
# CdMo2Ir

CdMo2Ir after structural relaxation (PBE, Alexandria).

Its calculated total energy is -7.54 eV per atom. The calculation puts the energy of formation from the pure elements at 0.316 eV per atom. The density comes out at 12.7 g/cm3. For the density of states at the Fermi level, the calculation gives 5.27 states/eV/f.u.

The space group is P4/mmm (No. 123) and the conventional cell measures 3.906, 3.906 and 4.261 Å, with angles of 90.00, 90.00 and 90.00 degrees. Symmetry generates all atoms from Cd at (0.000, 0.000, 0.000), Mo at (0.000, 0.500, 0.500) and Ir at (0.500, 0.500, 0.000).

3.
# CdMo2Ir

CdMo2Ir after structural relaxation (PBE, Alexandria).

Its calculated total energy is -7.17 eV per atom. The calculation puts the energy of formation from the pure elements at 0.692 eV per atom. The density comes out at 11.2 g/cm3. For the density of states at the Fermi level, the calculation gives 3.91 states/eV/f.u.

The space group is I-42d (No. 122) and the conventional cell measures 7.432, 7.432 and 5.341 Å, with angles of 90.00, 90.00 and 90.00 degrees. Symmetry generates all atoms from Cd at (0.000, 0.000, 0.000), Mo at (0.209, 0.250, 0.625) and Ir at (0.000, 0.000, 0.500).

4.
# CdMo2Ir

CdMo2Ir after structural relaxation (PBE, Alexandria).

Its calculated total energy is -7.69 eV per atom. The calculation puts the energy of formation from the pure elements at 0.165 eV per atom. The density comes out at 12.7 g/cm3. For the density of states at the Fermi level, the calculation gives 2.38 states/eV/f.u.

The space group is P2/m (No. 10) and the conventional cell measures 2.778, 4.196 and 5.577 Å, with angles of 90.00, 90.10 and 90.00 degrees. Symmetry generates all atoms from Cd at (0.000, 0.000, 0.000), Mo at (0.498, 0.500, 0.731) and Ir at (0.000, 0.000, 0.500).

5.
# CdMo2Ir

CdMo2Ir after structural relaxation (PBE, Alexandria).

Its calculated total energy is -7.61 eV per atom. The calculation puts the energy of formation from the pure elements at 0.248 eV per atom. The density comes out at 12.7 g/cm3. For the density of states at the Fermi level, the calculation gives 2.77 states/eV/f.u.

The space group is Cmmm (No. 65) and the conventional cell measures 5.454, 8.557 and 2.773 Å, with angles of 90.00, 90.00 and 90.00 degrees. Symmetry generates all atoms from Cd at (0.000, 0.000, 0.000), Mo at (0.250, 0.250, 0.500) and Ir at (0.000, 0.500, 0.000).

6.
# CdMoIr2

CdMoIr2 after structural relaxation (PBE, Alexandria).

Its calculated total energy is -7.03 eV per atom. The calculation puts the energy of formation from the pure elements at 0.336 eV per atom. The density comes out at 15.1 g/cm3. For the density of states at the Fermi level, the calculation gives 3.93 states/eV/f.u.

The space group is Cmm2 (No. 35) and the conventional cell measures 2.881, 4.723 and 9.577 Å, with angles of 90.00, 90.00 and 90.00 degrees. Symmetry generates all atoms from Cd at (0.000, 0.000, 0.000), Mo at (0.000, 0.500, 0.728), Ir at (0.000, 0.000, 0.498) and Ir at (0.000, 0.500, 0.253).

7.
# CdMo2Ir

CdMo2Ir after structural relaxation (PBE, Alexandria).

Its calculated total energy is -7.60 eV per atom. The calculation puts the energy of formation from the pure elements at 0.259 eV per atom. The density comes out at 12.7 g/cm3. For the density of states at the Fermi level, the calculation gives 3.01 states/eV/f.u.

The space group is Immm (No. 71) and the conventional cell measures 3.451, 4.210 and 8.969 Å, with angles of 90.00, 90.00 and 90.00 degrees. Symmetry generates all atoms from Cd at (0.000, 0.000, 0.000), Mo at (0.000, 0.500, 0.244) and Ir at (0.000, 0.000, 0.500).

8.
# CdMo2Ir

CdMo2Ir after structural relaxation (PBE, Alexandria).

Its calculated total energy is -7.63 eV per atom. The calculation puts the energy of formation from the pure elements at 0.230 eV per atom. The density comes out at 12.5 g/cm3. For the density of states at the Fermi level, the calculation gives 2.72 states/eV/f.u.

The space group is Cm (No. 8) and the conventional cell measures 9.562, 2.797 and 5.016 Å, with angles of 90.00, 100.41 and 90.00 degrees. Symmetry generates all atoms from Cd at (0.000, 0.000, 0.000), Mo at (0.012, 0.500, 0.507), Mo at (0.264, 0.500, 0.274) and Ir at (0.240, 0.000, 0.728).

9.
# CdMo2Ir

CdMo2Ir after structural relaxation (PBE, Alexandria).

Its calculated total energy is -7.66 eV per atom. The calculation puts the energy of formation from the pure elements at 0.198 eV per atom. The density comes out at 12.4 g/cm3. For the density of states at the Fermi level, the calculation gives 3.83 states/eV/f.u.

The space group is R3m (No. 160, hexagonal axes) and the conventional cell measures 2.8335, 2.8335 and 28.6367 Å, with angles of 90.00, 90.00 and 120.00 degrees. Symmetry generates all atoms from Cd at (0.0000, 0.0000, 0.0000), Mo at (0.0000, 0.0000, 0.2443), Mo at (0.0000, 0.0000, 0.4934) and Ir at (0.0000, 0.0000, 0.7540).

10.
# CdMoIr2

CdMoIr2 after structural relaxation (PBE, Alexandria).

Its calculated total energy is -7.51 eV per atom. The calculation puts the energy of formation from the pure elements at -0.143 eV per atom. The density comes out at 15.3 g/cm3. For the density of states at the Fermi level, the calculation gives 1.38 states/eV/f.u.

The space group is P4/mmm (No. 123) and the conventional cell measures 2.862, 2.862 and 7.844 Å, with angles of 90.00, 90.00 and 90.00 degrees. Symmetry generates all atoms from Cd at (0.000, 0.000, 0.000), Mo at (0.000, 0.000, 0.500) and Ir at (0.500, 0.500, 0.272).

11.
# CdMo2Ir

CdMo2Ir after structural relaxation (PBE, Alexandria).

Its calculated total energy is -7.57 eV per atom. The calculation puts the energy of formation from the pure elements at 0.293 eV per atom. The density comes out at 12.2 g/cm3. For the density of states at the Fermi level, the calculation gives 2.07 states/eV/f.u.

The space group is Imm2 (No. 44) and the conventional cell measures 3.006, 4.792 and 9.346 Å, with angles of 90.00, 90.00 and 90.00 degrees. Symmetry generates all atoms from Cd at (0.000, 0.000, 0.000), Mo at (0.000, 0.000, 0.502), Mo at (0.000, 0.500, 0.218) and Ir at (0.000, 0.500, 0.768).

12.
# CdMoIr2

CdMoIr2 after structural relaxation (PBE, Alexandria).

Its calculated total energy is -7.21 eV per atom. The calculation puts the energy of formation from the pure elements at 0.159 eV per atom. The density comes out at 15.3 g/cm3. For the density of states at the Fermi level, the calculation gives 4.12 states/eV/f.u.

The space group is P4mm (No. 99) and the conventional cell measures 2.780, 2.780 and 8.321 Å, with angles of 90.00, 90.00 and 90.00 degrees. Symmetry generates all atoms from Cd at (0.000, 0.000, 0.000), Mo at (0.500, 0.500, 0.720), Ir at (0.000, 0.000, 0.488) and Ir at (0.500, 0.500, 0.259).

13.
# CdMo2Ir2

CdMo2Ir2 after structural relaxation (PBE, Alexandria).

Its calculated total energy is -8.11 eV per atom. The calculation puts the energy of formation from the pure elements at -0.046 eV per atom. The density comes out at 13.7 g/cm3. For the density of states at the Fermi level, the calculation gives 2.68 states/eV/f.u.

The space group is P4/mbm (No. 127) and the conventional cell measures 7.745, 7.745 and 2.791 Å, with angles of 90.00, 90.00 and 90.00 degrees. Symmetry generates all atoms from Cd at (0.000, 0.000, 0.000), Mo at (0.167, 0.333, 0.500) and Ir at (0.125, 0.625, 0.000).

14.
# CdMo2Ir2

CdMo2Ir2 after structural relaxation (PBE, Alexandria).

Its calculated total energy is -8.03 eV per atom. The calculation puts the energy of formation from the pure elements at 0.033 eV per atom. The density comes out at 13.5 g/cm3. For the density of states at the Fermi level, the calculation gives 3.25 states/eV/f.u.

The space group is P4/mbm (No. 127) and the conventional cell measures 7.815, 7.815 and 2.778 Å, with angles of 90.00, 90.00 and 90.00 degrees. Symmetry generates all atoms from Cd at (0.000, 0.000, 0.000), Mo at (0.119, 0.381, 0.000) and Ir at (0.168, 0.668, 0.500).

15.
# CdMoIr2

CdMoIr2 after structural relaxation (PBE, Alexandria).

Its calculated total energy is -7.19 eV per atom. The calculation puts the energy of formation from the pure elements at 0.177 eV per atom. The density comes out at 15.1 g/cm3. For the density of states at the Fermi level, the calculation gives 2.62 states/eV/f.u.

The space group is Cmmm (No. 65) and the conventional cell measures 2.892, 4.744 and 9.497 Å, with angles of 90.00, 90.00 and 90.00 degrees. Symmetry generates all atoms from Cd at (0.000, 0.000, 0.000), Mo at (0.000, 0.000, 0.500) and Ir at (0.000, 0.500, 0.265).

16.
# CdMoIr4

CdMoIr4 after structural relaxation (PBE, Alexandria).

Its calculated total energy is -7.57 eV per atom. The calculation puts the energy of formation from the pure elements at 0.293 eV per atom. The density comes out at 16.4 g/cm3. For the density of states at the Fermi level, the calculation gives 5.50 states/eV/f.u.

The space group is F-43m (No. 216) and the conventional cell measures 7.338, 7.338 and 7.338 Å, with angles of 90.00, 90.00 and 90.00 degrees. Symmetry generates all atoms from Cd at (0.000, 0.000, 0.000), Mo at (0.250, 0.250, 0.250) and Ir at (0.125, 0.125, 0.625).

17.
# CdMo4Ir

CdMo4Ir after structural relaxation (PBE, Alexandria).

Its calculated total energy is -8.48 eV per atom. The calculation puts the energy of formation from the pure elements at 0.372 eV per atom. The density comes out at 11.3 g/cm3. For the density of states at the Fermi level, the calculation gives 4.92 states/eV/f.u.

The space group is F-43m (No. 216) and the conventional cell measures 7.388, 7.388 and 7.388 Å, with angles of 90.00, 90.00 and 90.00 degrees. Symmetry generates all atoms from Cd at (0.000, 0.000, 0.000), Mo at (0.126, 0.126, 0.374) and Ir at (0.250, 0.250, 0.750).

18.
# CdMoIr

CdMoIr after structural relaxation (PBE, Alexandria).

Its calculated total energy is -6.70 eV per atom. The calculation puts the energy of formation from the pure elements at 0.166 eV per atom. The density comes out at 13.2 g/cm3. For the density of states at the Fermi level, the calculation gives 1.61 states/eV/f.u.

The space group is Imm2 (No. 44) and the conventional cell measures 2.865, 3.839 and 9.176 Å, with angles of 90.00, 90.00 and 90.00 degrees. Symmetry generates all atoms from Cd at (0.000, 0.000, 0.000), Mo at (0.000, 0.000, 0.313) and Ir at (0.000, 0.000, 0.683).

19.
# CdMoIr

CdMoIr after structural relaxation (PBE, Alexandria).

Its calculated total energy is -6.63 eV per atom. The calculation puts the energy of formation from the pure elements at 0.243 eV per atom. The density comes out at 12.5 g/cm3. For the density of states at the Fermi level, the calculation gives 1.42 states/eV/f.u.

The space group is Fmmm (No. 69) and the conventional cell measures 5.199, 7.530 and 10.883 Å, with angles of 90.00, 90.00 and 90.00 degrees. Symmetry generates all atoms from Cd at (0.000, 0.172, 0.000), Mo at (0.250, 0.250, 0.250) and Ir at (0.000, 0.000, 0.374).

20.
# CdMo2Ir

CdMo2Ir after structural relaxation (PBE, Alexandria).

Its calculated total energy is -7.67 eV per atom. The calculation puts the energy of formation from the pure elements at 0.187 eV per atom. The density comes out at 12.7 g/cm3. For the density of states at the Fermi level, the calculation gives 3.03 states/eV/f.u.

The space group is Pmm2 (No. 25) and the conventional cell measures 2.802, 4.555 and 5.079 Å, with angles of 90.00, 90.00 and 90.00 degrees. Symmetry generates all atoms from Cd at (0.000, 0.000, 0.000), Mo at (0.500, 0.000, 0.502), Mo at (0.500, 0.500, 0.203) and Ir at (0.000, 0.500, 0.678).